Entry 1:
DFT (PBE-GGA) results for crystalline Ba2Tl2In3 at its relaxed geometry.

```
Ba2Tl2In3
1.0
5.142 0.000 0.000
-2.571 6.351 0.225
0.000 -3.109 7.161
Ba Tl In
2 2 3
Cartesian
0.000 -0.558 5.583
2.571 3.800 1.803
0.000 1.268 1.945
2.571 1.974 5.442
2.571 0.000 0.000
0.000 3.408 4.397
2.571 -0.166 2.990
```

## Properties
energy of formation from the pure elements: -0.362 eV per atom
energy: -19.3 eV per cell
calculated density: 7.2 g/cm³

Entry 2:
DFT (PBE-GGA) results for crystalline PuPaSe2 at its relaxed geometry.

```
PuPaSe2
1.0
-3.149 2.742 2.810
-2.024 -1.973 4.164
1.453 1.647 4.528
Pa Pu Se
1 1 2
Cartesian
0.000 0.000 0.000
-1.860 1.208 5.751
-2.790 1.812 8.627
-0.930 0.604 2.876
```

## Properties
ΔE_f (raw): -1.181 eV per atom
energy: -35.5 eV per cell
calculated density: 11.7 g/cm³

Entry 3:
DFT (PBE-GGA) results for crystalline Er6OsRh2 at its relaxed geometry.

```
Er6OsRh2
1.0
7.700 0.055 -2.792
-4.048 6.715 -2.370
-0.069 -0.055 8.190
Er Rh Os
12 4 2
Cartesian
3.842 2.467 2.662
5.213 1.780 -2.289
4.033 5.004 -2.873
0.354 1.725 2.513
-0.450 1.710 5.902
1.297 4.950 3.431
5.235 0.213 0.692
2.285 1.765 -0.403
-1.653 6.501 2.336
3.228 4.989 0.515
-1.630 4.935 5.318
-0.259 4.247 0.366
1.288 4.255 -1.820
5.057 0.000 3.578
2.295 2.460 4.849
2.574 0.000 1.821
-2.059 3.330 2.910
0.000 0.000 0.000
```

## Properties
energy of formation from the pure elements: -0.519 eV per atom
energy: -116.0 eV per cell
calculated density: 11.0 g/cm³